TbAl4Au8 | GGA-PBE | optimized geometry

For the electronic total energy, the calculation gives -3.995 eV per atom. The formation energy from the elements is -0.471 eV/atom.

Cell lengths 7.0763, 7.0763, 7.0763 Å; angles 98.87, 98.87, 133.76 degrees
With the nearest neighbours (Å) after each atom.
Element x y z (fractional)
1 Tb 0.0000 0.0000 0.0000  4 Au 2.98
2 Al 0.0000 0.0000 0.5000  8 Au 2.70-2.77, 2 Al 2.78
3 Al 0.0000 0.5000 0.0000  8 Au 2.70-2.77, 2 Al 2.78
4 Al 0.5000 0.0000 0.0000  8 Au 2.70-2.77, 2 Al 2.78
5 Al 0.5000 0.5000 0.5000  8 Au 2.70-2.77, 2 Al 2.78
6 Au 0.0000 0.3239 0.3239  4 Al 2.77, 4 Au 2.94-3.05, 1 Tb 2.98
7 Au 0.0000 0.6761 0.6761  4 Al 2.77, 4 Au 2.94-3.05, 1 Tb 2.98
8 Au 0.2807 0.5000 0.7807  4 Al 2.70, 4 Au 2.85-2.94
9 Au 0.3239 0.0000 0.3239  4 Al 2.77, 4 Au 2.94-3.05, 1 Tb 2.98
10 Au 0.5000 0.2807 0.7807  4 Al 2.70, 4 Au 2.85-2.94
11 Au 0.5000 0.7193 0.2193  4 Al 2.70, 4 Au 2.85-2.94
12 Au 0.6761 0.0000 0.6761  4 Al 2.77, 4 Au 2.94-3.05, 1 Tb 2.98
13 Au 0.7193 0.5000 0.2193  4 Al 2.70, 4 Au 2.85-2.94